[1]
MnTlCdB: optimized geometry, PBE-GGA.

Calculated values
- Electronic total energy: -17.62 eV per cell
- V: 71 Å³/cell
- ΔH_f (0 K): 376 meV/atom
- Offset from the most stable computed form: 0.32 eV per formula unit

a = 3.352 Å, b = 3.352 Å, c = 7.309 Å
α = 90.00°, β = 90.00°, γ = 120.00°
Element x y z (fractional)
Mn1 0.000 0.000 0.000
Tl1 0.333 0.667 0.309
Cd1 0.333 0.667 0.700
B1 0.667 0.333 0.921

[2]
MnTlCdB: optimized geometry, PBE-GGA.

Calculated values
- Electronic total energy: -17.87 eV per cell
- V: 71 Å³/cell
- ΔH_f (0 K): 314 meV/atom
- Offset from the most stable computed form: 0.07 eV per formula unit

a = 8.415 Å, b = 8.415 Å, c = 2.880 Å
α = 90.11°, β = 90.11°, γ = 20.40°
Element x y z (fractional)
Mn1 0.000 0.000 0.000
Tl1 0.166 0.166 0.511
Cd1 0.848 0.848 0.499
B1 0.500 0.500 0.500

[3]
MnTlCdB: optimized geometry, PBE-GGA.

Calculated values
- Electronic total energy: -16.97 eV per cell
- V: 85 Å³/cell
- ΔH_f (0 K): 539 meV/atom
- Offset from the most stable computed form: 0.97 eV per formula unit

a = 5.201 Å, b = 5.326 Å, c = 5.326 Å
α = 35.35°, β = 90.00°, γ = 90.00°
Element x y z (fractional)
Mn1 0.000 0.000 0.000
Tl1 0.500 0.025 0.025
Cd1 0.000 0.724 0.724
B1 0.000 0.397 0.397

[4]
MnTlCdB: optimized geometry, PBE-GGA.

Calculated values
- Electronic total energy: -16.52 eV per cell
- V: 71 Å³/cell
- ΔH_f (0 K): 653 meV/atom
- Offset from the most stable computed form: 1.43 eV per formula unit

a = 4.577 Å, b = 3.118 Å, c = 5.236 Å
α = 90.00°, β = 107.07°, γ = 90.00°
Element x y z (fractional)
Mn1 0.000 0.000 0.000
Tl1 0.414 0.500 0.777
Cd1 0.763 0.500 0.388
B1 0.199 0.500 0.214